A relaxed structure of TmGa6Fe6. Source: OQMD via LeMat-Bulk, functional PBE.

Cell lengths 6.5365, 6.5365, 6.5365 Å; angles 134.95, 99.40, 97.48 degrees
Last column: nearest neighbours and their distance in Å.
Atoms (fractional coordinates):
1 Tm 0.0000 0.0000 0.0000  8 Ga 2.81-2.96
2 Fe 0.7573 0.5000 0.2573  4 Fe 2.49, 6 Ga 2.56-2.62
3 Fe 0.5000 0.5000 0.5000  4 Fe 2.49-2.50, 6 Ga 2.53-2.59
4 Fe 0.5000 0.0000 0.0000  4 Fe 2.49-2.50, 6 Ga 2.53-2.59
5 Fe 0.0000 0.5000 0.0000  4 Fe 2.49-2.50, 6 Ga 2.53-2.59
6 Fe 0.0000 0.0000 0.5000  4 Fe 2.49-2.50, 6 Ga 2.53-2.59
7 Fe 0.2427 0.5000 0.7427  4 Fe 2.49, 6 Ga 2.56-2.62
8 Ga 0.6674 0.0000 0.6674  6 Fe 2.59-2.62, 1 Tm 2.81, 1 Ga 2.83
9 Ga 0.8180 0.3180 0.5000  6 Fe 2.53-2.58
10 Ga 0.6563 0.6563 0.0000  6 Fe 2.56-2.59, 3 Ga 2.70-2.87
11 Ga 0.3437 0.3437 0.0000  6 Fe 2.56-2.59, 3 Ga 2.70-2.87
12 Ga 0.1820 0.6820 0.5000  6 Fe 2.53-2.58
13 Ga 0.3326 0.0000 0.3326  6 Fe 2.59-2.62, 1 Tm 2.81, 1 Ga 2.83

- calculated total energy (eV/cell) = -76.7